Crystalline ZnSb2Cl2O3 at its relaxed geometry, computed with PBE.

The structure belongs to space group Pnma (No. 62); the cell edges are 17.206, 5.596 and 6.376 Å and the angles 90.00°, 90.00° and 90.00°. The distinct sites, in fractional coordinates, are Zn at (0.089, 0.250, 0.019), Sb at (0.114, 0.750, 0.672), Sb at (0.240, 0.250, 0.740), Cl at (0.030, 0.750, 0.133), Cl at (0.117, 0.250, 0.365), O at (0.158, 0.016, 0.852) and O at (0.216, 0.750, 0.527).

The calculation puts the total energy at -4.769 eV/atom.